Entry 1:
A plane-wave DFT calculation with PBE-GGA was carried out for CsAsI3 after structural relaxation.

Cell: 9.644 9.644 9.644 Å, 53.08 53.08 53.08°
Fractional coordinates of all 10 atoms:
Cs: 0.125 0.125 0.125
Cs: 0.875 0.875 0.875
As: 0.389 0.389 0.389
As: 0.611 0.611 0.611
I: 0.061 0.517 0.657
I: 0.343 0.939 0.483
I: 0.483 0.343 0.939
I: 0.517 0.657 0.061
I: 0.657 0.061 0.517
I: 0.939 0.483 0.343

Summary:
Relative energy among the computed polymorphs ... 193 meV/atom

=====

Entry 2:
A plane-wave DFT calculation with PBE-GGA was carried out for Cs3AsI6 after structural relaxation.

Cell: 10.505 10.505 10.505 Å, 90.53 90.53 90.53°
Fractional coordinates of all 20 atoms:
Cs: 0.068 0.573 0.744
Cs: 0.256 0.932 0.427
Cs: 0.427 0.256 0.932
Cs: 0.573 0.744 0.068
Cs: 0.744 0.068 0.573
Cs: 0.932 0.427 0.256
As: 0.000 0.000 0.000
As: 0.500 0.500 0.500
I: 0.048 0.941 0.733
I: 0.059 0.267 0.952
I: 0.242 0.561 0.417
I: 0.267 0.952 0.059
I: 0.417 0.242 0.561
I: 0.439 0.583 0.758
I: 0.561 0.417 0.242
I: 0.583 0.758 0.439
I: 0.733 0.048 0.941
I: 0.758 0.439 0.583
I: 0.941 0.733 0.048
I: 0.952 0.059 0.267

Summary:
Relative energy among the computed polymorphs ... 6 meV/atom

=====

Entry 3:
A plane-wave DFT calculation with PBE-GGA was carried out for CsAsI3 after structural relaxation.

Cell: 9.468 10.515 10.838 Å, 90.00 100.52 90.00°
Fractional coordinates of all 20 atoms:
Cs: 0.056 0.019 0.257
Cs: 0.056 0.481 0.757
Cs: 0.944 0.519 0.243
Cs: 0.944 0.981 0.743
As: 0.500 0.089 0.924
As: 0.500 0.411 0.424
As: 0.500 0.589 0.576
As: 0.500 0.911 0.076
I: 0.109 0.745 0.009
I: 0.109 0.755 0.509
I: 0.254 0.181 0.972
I: 0.254 0.319 0.472
I: 0.392 0.555 0.233
I: 0.392 0.945 0.733
I: 0.608 0.055 0.267
I: 0.608 0.445 0.767
I: 0.746 0.681 0.528
I: 0.746 0.819 0.028
I: 0.891 0.245 0.491
I: 0.891 0.255 0.991

Summary:
Relative energy among the computed polymorphs ... 21 meV/atom

=====

Entry 4:
A plane-wave DFT calculation with PBE-GGA was carried out for CsAsI3 after structural relaxation.

Cell: 8.607 9.994 13.982 Å, 90.00 120.86 90.00°
Fractional coordinates of all 20 atoms:
Cs: 0.192 0.084 0.257
Cs: 0.192 0.416 0.757
Cs: 0.808 0.584 0.243
Cs: 0.808 0.916 0.743
As: 0.498 0.594 0.432
As: 0.498 0.906 0.932
As: 0.502 0.094 0.068
As: 0.502 0.406 0.568
I: 0.126 0.182 0.956
I: 0.126 0.318 0.456
I: 0.266 0.030 0.727
I: 0.266 0.470 0.227
I: 0.305 0.738 0.982
I: 0.305 0.762 0.482
I: 0.695 0.238 0.518
I: 0.695 0.262 0.018
I: 0.734 0.530 0.773
I: 0.734 0.970 0.273
I: 0.874 0.682 0.544
I: 0.874 0.818 0.044

Summary:
Relative energy among the computed polymorphs ... 37 meV/atom

=====

Entry 5:
A plane-wave DFT calculation with PBE-GGA was carried out for CsAsI3 after structural relaxation.

Cell: 5.435 5.435 9.395 Å, 90.00 90.00 90.00°
Fractional coordinates of all 5 atoms:
Cs: 0.000 0.000 0.000
As: 0.500 0.500 0.598
I: 0.000 0.000 0.375
I: 0.000 0.500 0.703
I: 0.500 0.000 0.703

Summary:
Relative energy among the computed polymorphs ... 404 meV/atom

=====

Entry 6:
A plane-wave DFT calculation with PBE-GGA was carried out for Cs3As5I12 after structural relaxation.

Cell: 17.319 17.319 17.319 Å, 109.47 109.47 109.47°
Fractional coordinates of all 80 atoms:
Cs: 0.125 0.250 0.375
Cs: 0.125 0.375 0.750
Cs: 0.250 0.375 0.125
Cs: 0.250 0.875 0.625
Cs: 0.375 0.125 0.250
Cs: 0.375 0.750 0.125
Cs: 0.625 0.250 0.875
Cs: 0.625 0.875 0.750
Cs: 0.750 0.125 0.375
Cs: 0.750 0.625 0.875
Cs: 0.875 0.625 0.250
Cs: 0.875 0.750 0.625
As: 0.000 0.000 0.000
As: 0.000 0.000 0.500
As: 0.000 0.500 0.000
As: 0.000 0.500 0.500
As: 0.125 0.750 0.875
As: 0.125 0.875 0.250
As: 0.250 0.125 0.875
As: 0.250 0.625 0.375
As: 0.375 0.250 0.625
As: 0.375 0.625 0.750
As: 0.500 0.000 0.000
As: 0.500 0.000 0.500
As: 0.500 0.500 0.000
As: 0.500 0.500 0.500
As: 0.625 0.375 0.250
As: 0.625 0.750 0.375
As: 0.750 0.375 0.625
As: 0.750 0.875 0.125
As: 0.875 0.125 0.750
As: 0.875 0.250 0.125
I: 0.008 0.683 0.107
I: 0.008 0.825 0.901
I: 0.076 0.675 0.683
I: 0.076 0.901 0.393
I: 0.099 0.607 0.924
I: 0.099 0.992 0.175
I: 0.107 0.008 0.683
I: 0.107 0.599 0.424
I: 0.175 0.099 0.992
I: 0.175 0.576 0.183
I: 0.183 0.175 0.576
I: 0.183 0.508 0.607
I: 0.317 0.893 0.992
I: 0.317 0.924 0.325
I: 0.325 0.317 0.924
I: 0.325 0.508 0.401
I: 0.393 0.076 0.901
I: 0.393 0.817 0.492
I: 0.401 0.325 0.508
I: 0.401 0.576 0.893
I: 0.424 0.107 0.599
I: 0.424 0.817 0.825
I: 0.492 0.393 0.817
I: 0.492 0.599 0.675
I: 0.508 0.401 0.325
I: 0.508 0.607 0.183
I: 0.576 0.183 0.175
I: 0.576 0.893 0.401
I: 0.599 0.424 0.107
I: 0.599 0.675 0.492
I: 0.607 0.183 0.508
I: 0.607 0.924 0.099
I: 0.675 0.492 0.599
I: 0.675 0.683 0.076
I: 0.683 0.076 0.675
I: 0.683 0.107 0.008
I: 0.817 0.492 0.393
I: 0.817 0.825 0.424
I: 0.825 0.424 0.817
I: 0.825 0.901 0.008
I: 0.893 0.401 0.576
I: 0.893 0.992 0.317
I: 0.901 0.008 0.825
I: 0.901 0.393 0.076
I: 0.924 0.099 0.607
I: 0.924 0.325 0.317
I: 0.992 0.175 0.099
I: 0.992 0.317 0.893

=====

Entry 7:
A plane-wave DFT calculation with PBE-GGA was carried out for Cs4AsI2 after structural relaxation.

Cell: 11.279 11.279 11.279 Å, 145.38 145.38 49.77°
Fractional coordinates of all 7 atoms:
Cs: 0.000 0.500 0.500
Cs: 0.173 0.173 0.000
Cs: 0.500 0.000 0.500
Cs: 0.827 0.827 0.000
As: 0.000 0.000 0.000
I: 0.362 0.362 0.000
I: 0.638 0.638 0.000

=====

Entry 8:
A plane-wave DFT calculation with PBE-GGA was carried out for CsAs2I8 after structural relaxation.

Cell: 10.309 10.309 6.808 Å, 101.97 101.97 76.23°
Fractional coordinates of all 11 atoms:
Cs: 0.000 0.000 0.000
As: 0.232 0.232 0.678
As: 0.768 0.768 0.322
I: 0.034 0.698 0.306
I: 0.257 0.257 0.309
I: 0.302 0.966 0.694
I: 0.399 0.399 0.942
I: 0.601 0.601 0.058
I: 0.698 0.034 0.306
I: 0.743 0.743 0.691
I: 0.966 0.302 0.694

=====

Entry 9:
A plane-wave DFT calculation with PBE-GGA was carried out for Cs3As2I9 after structural relaxation.

Cell: 8.385 8.385 21.117 Å, 90.00 90.00 120.00°
Fractional coordinates of all 28 atoms:
Cs: 0.000 0.000 0.250
Cs: 0.000 0.000 0.750
Cs: 0.333 0.667 0.077
Cs: 0.333 0.667 0.423
Cs: 0.667 0.333 0.577
Cs: 0.667 0.333 0.923
As: 0.333 0.667 0.658
As: 0.333 0.667 0.842
As: 0.667 0.333 0.158
As: 0.667 0.333 0.342
I: 0.010 0.505 0.750
I: 0.172 0.345 0.587
I: 0.172 0.345 0.913
I: 0.172 0.828 0.587
I: 0.172 0.828 0.913
I: 0.345 0.172 0.087
I: 0.345 0.172 0.413
I: 0.495 0.505 0.750
I: 0.495 0.990 0.750
I: 0.505 0.010 0.250
I: 0.505 0.495 0.250
I: 0.655 0.828 0.587
I: 0.655 0.828 0.913
I: 0.828 0.172 0.087
I: 0.828 0.172 0.413
I: 0.828 0.655 0.087
I: 0.828 0.655 0.413
I: 0.990 0.495 0.250

=====

Entry 10:
A plane-wave DFT calculation with PBE-GGA was carried out for CsAsI3 after structural relaxation.

Cell: 7.050 7.050 14.351 Å, 107.97 107.97 56.37°
Fractional coordinates of all 10 atoms:
Cs: 0.102 0.102 0.356
Cs: 0.898 0.898 0.644
As: 0.257 0.257 0.097
As: 0.743 0.743 0.903
I: 0.216 0.216 0.641
I: 0.253 0.253 0.915
I: 0.476 0.476 0.199
I: 0.524 0.524 0.801
I: 0.747 0.747 0.085
I: 0.784 0.784 0.359

Summary:
Relative energy among the computed polymorphs ... 165 meV/atom

=====

Entry 11:
A plane-wave DFT calculation with PBE-GGA was carried out for CsAsI3 after structural relaxation.

Cell: 6.289 9.539 10.258 Å, 63.15 72.59 83.46°
Fractional coordinates of all 10 atoms:
Cs: 0.000 0.000 0.000
Cs: 0.430 0.688 0.632
As: 0.011 0.238 0.429
As: 0.263 0.438 0.186
I: 0.005 0.977 0.384
I: 0.042 0.556 0.430
I: 0.330 0.132 0.568
I: 0.453 0.285 0.009
I: 0.588 0.864 0.865
I: 0.940 0.565 0.056

Summary:
Relative energy among the computed polymorphs ... 19 meV/atom

=====

Entry 12:
A plane-wave DFT calculation with PBE-GGA was carried out for CsAsI3 after structural relaxation.

Cell: 10.166 10.166 10.166 Å, 142.24 72.40 120.78°
Fractional coordinates of all 10 atoms:
Cs: 0.000 0.000 0.000
Cs: 0.500 0.000 0.500
As: 0.500 0.250 0.250
As: 0.500 0.750 0.750
I: 0.221 0.626 0.595
I: 0.230 0.980 0.250
I: 0.470 0.374 0.095
I: 0.530 0.626 0.905
I: 0.770 0.020 0.750
I: 0.779 0.374 0.405

Summary:
Relative energy among the computed polymorphs ... 96 meV/atom

=====

Number 1: E_form (uncorrected) -519 meV/atom. Number 2: E_form (uncorrected) -986 meV/atom. Number 3: E_form (uncorrected) -690 meV/atom. Number 4: E_form (uncorrected) -674 meV/atom. Number 5: E_form (uncorrected) -307 meV/atom. Number 6: E_form (uncorrected) -349 meV/atom. Number 7: E_form (uncorrected) -880 meV/atom. Number 8: E_form (uncorrected) -354 meV/atom. Number 9: E_form (uncorrected) -812 meV/atom. Number 10: E_form (uncorrected) -547 meV/atom. Number 11: E_form (uncorrected) -693 meV/atom. Number 12: E_form (uncorrected) -616 meV/atom.